1.
PmPrBiI: relaxed, PBE.

POSCAR file:
```
PmPrBiI
1.0
0.000 3.951 3.951
3.951 0.000 3.951
3.951 3.951 0.000
Pm Pr Bi I
1 1 1 1
direct
0.000 0.000 0.000
0.500 0.500 0.500
0.750 0.750 0.750
0.250 0.250 0.250
```

Values from the calculation:
DOS at the Fermi energy, states/eV per atom: 0.933
Uncorrected energy, eV per atom: -4.597
Theoretical density, g cm⁻³: 8.373

---

2.
SrPmBiI: relaxed, PBE.

POSCAR file:
```
SrPmBiI
1.0
0.000 4.046 4.046
4.046 0.000 4.046
4.046 4.046 0.000
Sr Pm Bi I
1 1 1 1
direct
0.000 0.000 0.000
0.500 0.500 0.500
0.250 0.250 0.250
0.750 0.750 0.750
```

Values from the calculation:
DOS at the Fermi energy, states/eV per atom: 0.843
Uncorrected energy, eV per atom: -3.829
Theoretical density, g cm⁻³: 7.128

---

3.
TbPmBiI: relaxed, PBE.

POSCAR file:
```
TbPmBiI
1.0
0.000 3.898 3.898
3.898 0.000 3.898
3.898 3.898 0.000
Tb Pm Bi I
1 1 1 1
direct
0.000 0.000 0.000
0.500 0.500 0.500
0.250 0.250 0.250
0.750 0.750 0.750
```

Values from the calculation:
DOS at the Fermi energy, states/eV per atom: 0.911
Uncorrected energy, eV per atom: -4.473
Theoretical density, g cm⁻³: 8.968

---

4.
Pr4BiI5: relaxed, PBE.

POSCAR file:
```
Pr4BiI5
1.0
9.663 -2.175 0.000
9.663 2.175 0.000
-1.628 0.000 9.419
Pr Bi I
4 1 5
direct
0.002 0.002 0.234
0.333 0.333 0.939
0.667 0.667 0.061
0.998 0.998 0.766
0.500 0.500 0.000
0.167 0.167 0.801
0.169 0.169 0.318
0.500 0.500 0.500
0.831 0.831 0.682
0.833 0.833 0.199
```

Values from the calculation:
DOS at the Fermi energy, states/eV per atom: 0.560
Uncorrected energy, eV per atom: -4.242
Theoretical density, g cm⁻³: 5.902